--- i ---
! TcBi3As PBEsol optimized geometry; values from VASP
! Volume ... 157 Å³/f.u.
! Space group ... Pm-3m (221)
! Total moment ... 0.654 μB per atom
&SYSTEM
  ibrav = 0, nat = 5, ntyp = 3
/
ATOMIC_SPECIES
Tc 98.00 Tc.upf
Bi 208.98 Bi.upf
As 74.92 As.upf
ATOMIC_POSITIONS crystal
Tc 0.0000 0.0000 0.0000
Bi 0.0000 0.5000 0.5000
Bi 0.5000 0.0000 0.5000
Bi 0.5000 0.5000 0.0000
As 0.5000 0.5000 0.5000
CELL_PARAMETERS angstrom
5.3970 0.0000 0.0000
0.0000 5.3970 0.0000
0.0000 0.0000 5.3970

--- ii ---
! TcBi3As PBEsol optimized geometry; values from VASP
! Volume ... 140 Å³/f.u.
! Space group ... Pm-3m (221)
! Total moment ... 0.000 μB per atom
&SYSTEM
  ibrav = 0, nat = 5, ntyp = 3
/
ATOMIC_SPECIES
Tc 98.00 Tc.upf
Bi 208.98 Bi.upf
As 74.92 As.upf
ATOMIC_POSITIONS crystal
Tc 0.0000 0.0000 0.0000
Bi 0.0000 0.0000 0.5000
Bi 0.0000 0.5000 0.0000
Bi 0.5000 0.0000 0.0000
As 0.5000 0.5000 0.5000
CELL_PARAMETERS angstrom
5.1884 0.0000 0.0000
0.0000 5.1884 0.0000
0.0000 0.0000 5.1884

The most stable of them is ii.

--- i ---
! AsPCBr2 PBEsol optimized geometry; values from VASP
! Volume ... 117 Å³/f.u.
! Space group ... P4/mmm (123)
! Total moment ... 0.171 μB per atom
&SYSTEM
  ibrav = 0, nat = 5, ntyp = 4
/
ATOMIC_SPECIES
As 74.92 As.upf
P 30.97 P.upf
C 12.01 C.upf
Br 79.90 Br.upf
ATOMIC_POSITIONS crystal
As 0.0000 0.0000 0.0000
P 0.0000 0.0000 0.5000
C 0.5000 0.5000 0.0000
Br 0.0000 0.5000 0.5000
Br 0.5000 0.0000 0.5000
CELL_PARAMETERS angstrom
4.8577 0.0000 0.0000
0.0000 4.8577 0.0000
0.0000 0.0000 4.9787

--- ii ---
! AsPCBr2 PBEsol optimized geometry; values from VASP
! Volume ... 88 Å³/f.u.
! Space group ... P4/mmm (123)
! Total moment ... 0.000 μB per atom
&SYSTEM
  ibrav = 0, nat = 5, ntyp = 4
/
ATOMIC_SPECIES
As 74.92 As.upf
P 30.97 P.upf
C 12.01 C.upf
Br 79.90 Br.upf
ATOMIC_POSITIONS crystal
As 0.0000 0.0000 0.0000
P 0.5000 0.5000 0.0000
C 0.0000 0.0000 0.5000
Br 0.0000 0.5000 0.5000
Br 0.5000 0.0000 0.5000
CELL_PARAMETERS angstrom
4.4325 0.0000 0.0000
0.0000 4.4325 0.0000
0.0000 0.0000 4.4974

The most stable of them is ii.